VASP calculation (PBE-GGA) on a relaxed Tb4Pr2Nd5 crystal.

Computed properties:
ΔE_f (eV/atom): 0.137
Energy above the most stable polymorph in this dataset (eV per atom): 0.0000
Total energy (Ha/atom): -0.1684
Volume (Å³ per atom): 35.201

Unit cell a=3.6143 b=12.2940 c=9.3180 alpha=107.23 beta=101.18 gamma=90.00
Atoms (fractional coordinates):
Nd  0.1094  0.5166  0.2189
Nd  0.1663  0.0133  0.3327
Tb  0.6690  0.7682  0.3380
Nd  0.5000  0.0000  0.0000
Nd  0.8337  0.9867  0.6673
Pr  0.3207  0.7025  0.6414
Tb  0.3310  0.2318  0.6620
Tb  0.0032  0.7533  0.0064
Tb  0.9968  0.2467  0.9936
Pr  0.6793  0.2975  0.3586
Nd  0.8906  0.4834  0.7811

---

VASP calculation (PBE-GGA) on a relaxed Tb3Pr3Nd4 crystal.

Computed properties:
ΔE_f (eV/atom): 0.114
Total energy (Ha/atom): -0.1697
Volume (Å³ per atom): 35.066

Unit cell a=3.8330 b=9.5650 c=9.5650 alpha=90.49 beta=90.00 gamma=90.00
Atoms (fractional coordinates):
Tb  0.5000  0.1706  0.8294
Pr  0.5000  0.6697  0.6710
Pr  0.5000  0.3290  0.3303
Tb  0.0000  0.0025  0.5042
Pr  0.5000  0.8297  0.1703
Nd  0.0000  0.6301  0.3699
Nd  0.0000  0.3678  0.6322
Nd  0.0000  0.1316  0.1269
Nd  0.0000  0.8731  0.8684
Tb  0.0000  0.4958  0.9975

---

- ΔE_f of number 2 (Tb3Pr3Nd4)?
  0.114 eV/atom

---

- Which of these has the lowest total energy?
  Tb3Pr3Nd4

---

- Among the records above, which one has the highest ΔE_f?
  Tb4Pr2Nd5